[1]
# LiGe2As (GGA-PBE, optimized geometry)
# total magnetic moment: 0.0 μB/f.u.
# total DFT energy (no corrections): -3.759 eV/atom
# DOS at the Fermi energy: 1.04 states/eV/f.u.
# crystal system: tetragonal
data_LiGe2As
_space_group_name_H-M_alt 'P 1'
_space_group_IT_number 1
_cell_length_a 6.2997
_cell_length_b 6.2997
_cell_length_c 6.6744
_cell_angle_alpha 61.84
_cell_angle_beta 61.84
_cell_angle_gamma 90.00
loop_
_space_group_symop_operation_xyz
'x,y,z'
loop_
_atom_site_label
_atom_site_type_symbol
_atom_site_fract_x
_atom_site_fract_y
_atom_site_fract_z
_atom_site_occupancy
As1 As 0.0000 0.0000 0.0000 1
As2 As 0.7500 0.2500 0.5000 1
Ge1 Ge 0.6375 0.1250 0.2500 1
Ge2 Ge 0.1125 0.6250 0.2500 1
Ge3 Ge 0.3750 0.3625 0.7500 1
Ge4 Ge 0.8750 0.8875 0.7500 1
Li1 Li 0.5000 0.5000 0.0000 1
Li2 Li 0.2500 0.7500 0.5000 1

---

[2]
# Rb3Pu3SbSe8 (GGA-PBE, optimized geometry)
# total magnetic moment: 14.0 μB/f.u.
# total DFT energy (no corrections): -6.421 eV/atom
# DOS at the Fermi energy: 30.55 states/eV/f.u.
# formation energy without anion corrections: -1.23 eV per atom
# crystal system: trigonal
data_Rb3Pu3SbSe8
_space_group_name_H-M_alt 'P 1'
_space_group_IT_number 1
_cell_length_a 8.5143
_cell_length_b 8.5112
_cell_length_c 9.4245
_cell_angle_alpha 116.84
_cell_angle_beta 90.00
_cell_angle_gamma 120.01
loop_
_space_group_symop_operation_xyz
'x,y,z'
loop_
_atom_site_label
_atom_site_type_symbol
_atom_site_fract_x
_atom_site_fract_y
_atom_site_fract_z
_atom_site_occupancy
Rb1 Rb 0.0000 0.0000 0.0000 1
Rb2 Rb 0.0000 0.5000 0.0000 1
Rb3 Rb 0.5000 0.5000 0.0000 1
Pu1 Pu 0.5000 0.0000 0.5000 1
Pu2 Pu 0.5000 0.5000 0.5000 1
Pu3 Pu 0.0000 0.5000 0.5000 1
Sb1 Sb 0.0000 0.0000 0.5000 1
Se1 Se 0.2689 0.5377 0.3068 1
Se2 Se 0.7311 0.4623 0.6932 1
Se3 Se 0.7690 0.5380 0.3102 1
Se4 Se 0.2310 0.4620 0.6898 1
Se5 Se 0.7690 0.0411 0.3103 1
Se6 Se 0.2310 0.9589 0.6897 1
Se7 Se 0.2721 0.0411 0.3103 1
Se8 Se 0.7279 0.9589 0.6897 1

---

[3]
# LiHf2P (GGA-PBE, optimized geometry)
# total magnetic moment: 0.0 μB/f.u.
# total DFT energy (no corrections): -6.906 eV/atom
# DOS at the Fermi energy: 3.00 states/eV/f.u.
# crystal system: tetragonal
data_LiHf2P
_space_group_name_H-M_alt 'P 1'
_space_group_IT_number 1
_cell_length_a 7.3033
_cell_length_b 7.3033
_cell_length_c 5.8831
_cell_angle_alpha 51.63
_cell_angle_beta 51.63
_cell_angle_gamma 90.00
loop_
_space_group_symop_operation_xyz
'x,y,z'
loop_
_atom_site_label
_atom_site_type_symbol
_atom_site_fract_x
_atom_site_fract_y
_atom_site_fract_z
_atom_site_occupancy
P1 P 0.0000 0.0000 0.0000 1
P2 P 0.7500 0.2500 0.5000 1
Hf1 Hf 0.6526 0.1250 0.2500 1
Hf2 Hf 0.0974 0.6250 0.2500 1
Hf3 Hf 0.3750 0.3474 0.7500 1
Hf4 Hf 0.8750 0.9026 0.7500 1
Li1 Li 0.5000 0.5000 0.0000 1
Li2 Li 0.2500 0.7500 0.5000 1

---

[4]
# Ta2V2H5 (GGA-PBE, optimized geometry)
# total magnetic moment: 0.0 μB/f.u.
# total DFT energy (no corrections): -6.665 eV/atom
# DOS at the Fermi energy: 4.10 states/eV/f.u.
# crystal system: tetragonal
data_Ta2V2H5
_space_group_name_H-M_alt 'P 1'
_space_group_IT_number 1
_cell_length_a 3.1772
_cell_length_b 3.1772
_cell_length_c 7.4988
_cell_angle_alpha 90.00
_cell_angle_beta 90.00
_cell_angle_gamma 90.00
loop_
_space_group_symop_operation_xyz
'x,y,z'
loop_
_atom_site_label
_atom_site_type_symbol
_atom_site_fract_x
_atom_site_fract_y
_atom_site_fract_z
_atom_site_occupancy
Ta1 Ta 0.0000 0.0000 0.0000 1
Ta2 Ta 0.0000 0.0000 0.5000 1
V1 V 0.5000 0.5000 0.2659 1
V2 V 0.5000 0.5000 0.7341 1
H1 H 0.5000 0.0000 0.1469 1
H2 H 0.5000 0.0000 0.8531 1
H3 H 0.5000 0.5000 0.5000 1
H4 H 0.0000 0.5000 0.1469 1
H5 H 0.0000 0.5000 0.8531 1

---

[5]
# Al2ZnCd (GGA-PBE, optimized geometry)
# total magnetic moment: 0.0 μB/f.u.
# total DFT energy (no corrections): -2.279 eV/atom
# DOS at the Fermi energy: 1.18 states/eV/f.u.
# crystal system: orthorhombic
data_Al2ZnCd
_space_group_name_H-M_alt 'P 1'
_space_group_IT_number 1
_cell_length_a 2.9653
_cell_length_b 2.9653
_cell_length_c 10.2608
_cell_angle_alpha 90.00
_cell_angle_beta 90.00
_cell_angle_gamma 124.38
loop_
_space_group_symop_operation_xyz
'x,y,z'
loop_
_atom_site_label
_atom_site_type_symbol
_atom_site_fract_x
_atom_site_fract_y
_atom_site_fract_z
_atom_site_occupancy
Zn1 Zn 0.5000 0.5000 0.7500 1
Al1 Al 0.0000 0.0000 0.9798 1
Al2 Al 0.0000 0.0000 0.5202 1
Cd1 Cd 0.5000 0.5000 0.2500 1

---

[6]
# HfCuGeAu2 (GGA-PBE, optimized geometry)
# total magnetic moment: 0.0 μB/f.u.
# total DFT energy (no corrections): -4.095 eV/atom
# DOS at the Fermi energy: 4.86 states/eV/f.u.
# crystal system: tetragonal
data_HfCuGeAu2
_space_group_name_H-M_alt 'P 1'
_space_group_IT_number 1
_cell_length_a 5.1657
_cell_length_b 5.2074
_cell_length_c 5.1657
_cell_angle_alpha 90.00
_cell_angle_beta 90.00
_cell_angle_gamma 90.00
loop_
_space_group_symop_operation_xyz
'x,y,z'
loop_
_atom_site_label
_atom_site_type_symbol
_atom_site_fract_x
_atom_site_fract_y
_atom_site_fract_z
_atom_site_occupancy
Hf1 Hf 0.0000 0.0000 0.0000 1
Ge1 Ge 0.0000 0.5000 0.0000 1
Au1 Au 0.0000 0.0000 0.5000 1
Au2 Au 0.5000 0.0000 0.0000 1
Cu1 Cu 0.5000 0.5000 0.5000 1